[1]
SmDySn2: relaxed, PBE.

Summary:
Electronic total energy   -4.269 eV per atom
Symmetry   Amm2, No. 38

Cell: 3.3508 6.9238 6.9238 Å, 53.76 90.00 90.00°
With the nearest neighbours (Å) after each atom.
Atoms (fractional coordinates):
Sm  0.0000  0.0000  0.0000  3 Sn 3.05-3.14, 2 Sm 3.35
Dy  0.0000  0.2814  0.2814  3 Sn 3.00-3.15, 2 Dy 3.35
Sn  0.0000  0.5243  0.5243  1 Sn 2.82, 1 Dy 3.00, 2 Sm 3.14
Sn  0.0000  0.7528  0.7528  1 Sn 2.82, 1 Sm 3.05, 2 Dy 3.15



[2]
SmDyZn2Sn2: relaxed, PBE.

Summary:
Excess energy over the best structure of this formula in the dataset   12 meV/atom
Electronic total energy   -3.912 eV per atom
Symmetry   P6_3/mmc, No. 194

Cell: 4.5379 4.5379 15.9674 Å, 90.00 90.00 120.00°
With the nearest neighbours (Å) after each atom.
Atoms (fractional coordinates):
Sm  0.0000  0.0000  0.2500  6 Zn 3.01
Sm  0.0000  0.0000  0.7500  6 Zn 3.01
Dy  0.0000  0.0000  0.0000  6 Sn 3.17
Dy  0.0000  0.0000  0.5000  6 Sn 3.17
Zn  0.3333  0.6667  0.1573  3 Sn 2.72, 1 Zn 2.96, 3 Sm 3.01
Zn  0.3333  0.6667  0.3427  3 Sn 2.72, 1 Zn 2.96, 3 Sm 3.01
Zn  0.6667  0.3333  0.6573  3 Sn 2.72, 1 Zn 2.96, 3 Sm 3.01
Zn  0.6667  0.3333  0.8427  3 Sn 2.72, 1 Zn 2.96, 3 Sm 3.01
Sn  0.3333  0.6667  0.6123  3 Zn 2.72
Sn  0.3333  0.6667  0.8877  3 Zn 2.72
Sn  0.6667  0.3333  0.1123  3 Zn 2.72
Sn  0.6667  0.3333  0.3877  3 Zn 2.72



[3]
SmDyZn2Sn2: relaxed, PBE.

Summary:
Excess energy over the best structure of this formula in the dataset   0 meV/atom
Electronic total energy   -3.924 eV per atom
Symmetry   P6_3/mmc, No. 194

Cell: 4.5204 4.5204 16.0632 Å, 90.00 90.00 120.00°
With the nearest neighbours (Å) after each atom.
Atoms (fractional coordinates):
Sm  0.0000  0.0000  0.0000  6 Sn 3.21
Sm  0.0000  0.0000  0.5000  6 Sn 3.21
Dy  0.0000  0.0000  0.2500  6 Zn 2.97
Dy  0.0000  0.0000  0.7500  6 Zn 2.97
Zn  0.3333  0.6667  0.1614  3 Sn 2.71, 1 Zn 2.85, 3 Dy 2.97
Zn  0.3333  0.6667  0.3386  3 Sn 2.71, 1 Zn 2.85, 3 Dy 2.97
Zn  0.6667  0.3333  0.6614  3 Sn 2.71, 1 Zn 2.85, 3 Dy 2.97
Zn  0.6667  0.3333  0.8386  3 Sn 2.71, 1 Zn 2.85, 3 Dy 2.97
Sn  0.3333  0.6667  0.6164  3 Zn 2.71
Sn  0.3333  0.6667  0.8836  3 Zn 2.71
Sn  0.6667  0.3333  0.1164  3 Zn 2.71
Sn  0.6667  0.3333  0.3836  3 Zn 2.71



[4]
SrSmDy: relaxed, PBE.

Summary:
Electronic total energy   -2.843 eV per atom
Symmetry   F-43m, No. 216

Cell: 5.7804 5.7804 5.7804 Å, 60.00 60.00 60.00°
With the nearest neighbours (Å) after each atom.
Atoms (fractional coordinates):
Sr  0.0000  0.0000  0.0000  4 Sm 3.54
Sm  0.7500  0.7500  0.7500  4 Sr 3.54, 4 Dy 3.54
Dy  0.5000  0.5000  0.5000  4 Sm 3.54



[5]
TbSmDy: relaxed, PBE.

Summary:
DFT formation energy   2.147 eV per formula unit
Excess energy over the best structure of this formula in the dataset   0 meV/atom
Electronic total energy   -3.932 eV per atom
Symmetry   F-43m, No. 216

Cell: 5.4564 5.4564 5.4564 Å, 60.00 60.00 60.00°
With the nearest neighbours (Å) after each atom.
Atoms (fractional coordinates):
Tb  0.0000  0.0000  0.0000  4 Dy 3.34
Sm  0.5000  0.5000  0.5000  4 Dy 3.34
Dy  0.7500  0.7500  0.7500  4 Tb 3.34, 4 Sm 3.34



[6]
SmDyTc: relaxed, PBE.

Summary:
DFT formation energy   2.761 eV per formula unit
Excess energy over the best structure of this formula in the dataset   0 meV/atom
Electronic total energy   -5.638 eV per atom
Symmetry   F-43m, No. 216

Cell: 4.7889 4.7889 4.7889 Å, 60.00 60.00 60.00°
With the nearest neighbours (Å) after each atom.
Atoms (fractional coordinates):
Sm  0.0000  0.0000  0.0000  4 Dy 2.93
Dy  0.2500  0.2500  0.2500  4 Tc 2.93, 4 Sm 2.93
Tc  0.5000  0.5000  0.5000  4 Dy 2.93